1 | ## HgPIr2 (GGA-PBE)

Data for a geometry-optimized HgPIr2 structure.

Cell: 2.8981 2.8981 7.3974 Å, 90.00 90.00 90.00°
Last column: nearest neighbours and their distance in Å.
Fractional positions:
1 Hg 0.0000 0.0000 0.0000  4 Hg 2.90, 8 Ir 3.05
2 P 0.0000 0.0000 0.5000  8 Ir 2.50
3 Ir 0.5000 0.5000 0.3062  4 P 2.50
4 Ir 0.5000 0.5000 0.6938  4 P 2.50

Density, g/cm³: 16.46
Calculated volume, Å³/atom: 15.53

---

2 | ## HgPIr2 (GGA-PBE)

Data for a geometry-optimized HgPIr2 structure.

Cell: 2.8900 4.5275 4.9790 Å, 90.00 90.00 90.00°
Last column: nearest neighbours and their distance in Å.
Fractional positions:
1 Hg 0.0000 0.0000 0.0000  4 Ir 2.69, 4 P 2.88, 2 Hg 2.89
2 P 0.5000 0.0000 0.5000  4 Ir 2.69, 4 Hg 2.88, 2 P 2.89
3 Ir 0.0000 0.5000 0.5000  4 P 2.69, 6 Ir 2.88-2.89
4 Ir 0.5000 0.5000 0.0000  4 Hg 2.69, 6 Ir 2.88-2.89

Density, g/cm³: 15.70
Calculated volume, Å³/atom: 16.29

---

Name the most stable of them. 1.

---

1 | ## HgPIr (GGA-PBE)

Data for a geometry-optimized HgPIr structure.

Cell: 2.9238 2.9238 13.1537 Å, 90.00 90.00 90.00°
Last column: nearest neighbours and their distance in Å.
Fractional positions:
1 Hg 0.0000 0.0000 0.0000  4 Hg 2.92, 4 Ir 3.20
2 Hg 0.5000 0.5000 0.5000  4 Hg 2.92, 4 Ir 3.20
3 P 0.0000 0.0000 0.2793  4 Ir 2.41
4 P 0.5000 0.5000 0.7793  4 Ir 2.41
5 Ir 0.0000 0.0000 0.6853  4 P 2.41
6 Ir 0.5000 0.5000 0.1853  4 P 2.41

Density, g/cm³: 12.52
Calculated volume, Å³/atom: 18.74

---

2 | ## HgPIr (GGA-PBE)

Data for a geometry-optimized HgPIr structure.

Cell: 6.1451 6.1451 6.1451 Å, 90.00 90.00 90.00°
Last column: nearest neighbours and their distance in Å.
Fractional positions:
1 Hg 0.0000 0.0000 0.0000  4 Ir 2.66
2 Hg 0.0000 0.5000 0.5000  4 Ir 2.66
3 Hg 0.5000 0.0000 0.5000  4 Ir 2.66
4 Hg 0.5000 0.5000 0.0000  4 Ir 2.66
5 P 0.0000 0.0000 0.5000  4 Ir 2.66
6 P 0.0000 0.5000 0.0000  4 Ir 2.66
7 P 0.5000 0.0000 0.0000  4 Ir 2.66
8 P 0.5000 0.5000 0.5000  4 Ir 2.66
9 Ir 0.2500 0.2500 0.7500  4 Hg 2.66, 4 P 2.66
10 Ir 0.2500 0.7500 0.2500  4 Hg 2.66, 4 P 2.66
11 Ir 0.7500 0.2500 0.2500  4 Hg 2.66, 4 P 2.66
12 Ir 0.7500 0.7500 0.7500  4 Hg 2.66, 4 P 2.66

Density, g/cm³: 12.13
Calculated volume, Å³/atom: 19.34

---

Name the most stable of them. 1.